# 1
{"formula": "LaCu2Pt", "functional": "PBEsol", "state": "relaxed", "relative_energy_mev_per_atom": 274, "e_form_ev_per_atom": -0.184, "e_tot_ev_per_atom": -5.429, "cell": [[-1.533, 4.266, 1.207], [-4.455, 0.599, 1.342], [-0.991, 0.954, 4.485]], "species": ["Cu", "Cu", "La", "Pt"], "frac_coords": [[0.000, 0.000, 0.000], [0.750, 0.750, 0.750], [0.500, 0.500, 0.500], [0.250, 0.250, 0.250]]}


# 2
{"formula": "AlAs", "functional": "PBEsol", "state": "relaxed", "e_form_ev_per_atom": -0.429, "e_tot_ev_per_atom": -5.028, "cell": [[4.008, 0.000, 0.000], [-2.004, 3.471, 0.000], [0.000, 0.000, 6.589]], "species": ["As", "As", "Al", "Al"], "frac_coords": [[0.667, 0.333, 0.625], [0.333, 0.667, 0.125], [0.667, 0.333, 0.999], [0.333, 0.667, 0.499]]}


# 3
{"formula": "Si3Hg4", "functional": "PBEsol", "state": "relaxed", "e_form_raw_mev_per_atom": 376, "e_tot_ev_per_atom": -2.411, "cell": [[-0.856, -3.843, -3.168], [-2.022, -0.045, 4.631], [-5.210, 3.013, -2.246]], "species": ["Hg", "Hg", "Hg", "Hg", "Si", "Si", "Si"], "frac_coords": [[0.000, 0.000, 0.732], [0.000, 0.000, 0.268], [0.333, 0.667, 0.500], [0.667, 0.333, 0.500], [0.000, 0.500, 0.000], [0.500, 0.000, 0.000], [0.500, 0.500, 0.000]]}


# 4
{"formula": "Sc3SiHg", "functional": "PBEsol", "state": "relaxed", "e_form_raw_mev_per_atom": -154, "e_tot_ev_per_atom": -5.380, "cell": [[-2.366, -3.891, -1.908], [3.115, -0.015, -3.832], [3.014, -3.039, 2.462]], "species": ["Sc", "Sc", "Sc", "Si", "Hg"], "frac_coords": [[0.000, 0.500, 0.000], [0.000, 0.000, 0.500], [0.500, 0.000, 0.000], [0.000, 0.000, 0.000], [0.500, 0.500, 0.500]]}


# 5
{"formula": "LiSi2Ag", "functional": "PBEsol", "state": "relaxed", "relative_energy_mev_per_atom": 10, "e_form_raw_mev_per_atom": 30, "e_tot_ev_per_atom": -4.163, "cell": [[3.881, 0.000, 0.000], [0.000, 3.881, 0.000], [-1.940, -1.940, 3.894]], "species": ["Si", "Si", "Ag", "Li"], "frac_coords": [[0.000, 0.000, 0.000], [0.750, 0.250, 0.500], [0.500, 0.500, 0.000], [0.250, 0.750, 0.500]]}


# 6
{"formula": "La2BeI", "functional": "PBEsol", "state": "relaxed", "e_form_raw_mev_per_atom": -81, "e_tot_ev_per_atom": -4.196, "cell": [[6.703, -0.119, 0.000], [-2.833, 6.076, 0.000], [-1.935, -2.979, 5.686]], "species": ["I", "I", "Be", "Be", "La", "La", "La", "La"], "frac_coords": [[0.000, 0.000, 0.000], [0.250, 0.750, 0.500], [0.500, 0.500, 0.000], [0.750, 0.250, 0.500], [0.625, 0.591, 0.466], [0.125, 0.159, 0.534], [0.841, 0.375, 0.966], [0.409, 0.875, 0.034]]}